(1)
Density functional theory data (PBE) for a geometry-optimized DyTm5Pb4 structure.

* SG: C2/m, No. 12
* volume: 30.690 Å³/atom
* formation energy: -4.0 kcal/mol of atoms
* VASP energy: -4.353 eV per atom
* spin magnetization: 0.000 μB/atom

Lattice parameters (Å, degrees): 3.629 9.693 8.921 92.77 101.74 90.00
Element x y z (fractional)
Dy 0.500 0.000 0.000
Tm 0.808 0.611 0.616
Tm 0.844 0.248 0.689
Tm 0.156 0.752 0.311
Tm 0.500 0.500 0.000
Tm 0.192 0.389 0.384
Pb 0.318 0.934 0.635
Pb 0.975 0.746 0.950
Pb 0.682 0.066 0.365
Pb 0.025 0.254 0.050

(2)
Density functional theory data (PBE) for a geometry-optimized DyTm5Pb6 structure.

* SG: C2/m, No. 12
* volume: 28.632 Å³/atom
* formation energy: -8.9 kcal/mol of atoms
* VASP energy: -4.487 eV per atom
* spin magnetization: 0.000 μB/atom

Lattice parameters (Å, degrees): 8.569 6.067 8.206 68.30 79.37 60.07
Element x y z (fractional)
Dy 0.000 0.000 0.000
Tm 0.500 0.165 0.670
Tm 0.000 0.332 0.336
Tm 0.500 0.500 0.000
Tm 0.000 0.668 0.664
Tm 0.500 0.835 0.330
Pb 0.747 0.085 0.335
Pb 0.253 0.580 0.335
Pb 0.248 0.257 0.000
Pb 0.752 0.743 0.000
Pb 0.747 0.420 0.665
Pb 0.253 0.915 0.665